## Dy2Cd13 (PBE-GGA)

Data for crystalline Dy2Cd13 at its relaxed geometry.

Cell and atoms, written as extended XYZ:
```
15
Lattice="-4.9912 -0.7456 -6.0591 -2.7385 -7.1193 -1.9993 -7.9634 -1.7661 1.6461" Properties=species:S:1:pos:R:3 pbc="T T T"
Cd -11.0025 -3.3692 -4.0336
Dy -10.3543 -4.4172 -1.1895
Cd -8.4748 -3.8033 -5.9500
Cd -10.2696 -6.2834 -4.1663
Cd -7.8512 -6.7339 -6.2154
Cd -8.5956 -1.9314 -2.9441
Dy -5.3389 -5.2137 -5.2229
Cd -7.8420 -2.8971 -0.1969
Cd -9.5760 -7.4051 -1.4629
Cd -7.8466 -4.8155 -3.2062
Cd -6.1172 -2.2259 -4.9495
Cd -5.4236 -3.3475 -2.2460
Cd -7.0977 -7.6996 -3.4682
Cd -7.2185 -5.8277 -0.4623
Cd -4.6907 -6.2618 -2.3788
```

Properties
Spin magnetization, μB/atom: 0.00
Volume, Å³/cell: 375.1
Calculated total energy, eV per formula unit: -21.39
Symmetry: No. 166
Formation energy from the elements, eV/atom: -0.019
Density, Mg/m³: 7.91